No. 1
The following is a GGA-PBE calculation of crystalline GdNpPa at its relaxed geometry, from OQMD.

Output
**Uncorrected energy**: -94.9 eV/cell
**Formation energy from the elements**: 3.21 eV/f.u.

Cell and atoms, written as CIF:
```
data_GdNpPa
_symmetry_space_group_name_H-M 'F -4 3 m'
_symmetry_Int_Tables_number 216
_symmetry_space_group_name_Hall 'F -4 2 3'
_cell_length_a 6.7931
_cell_length_b 6.7931
_cell_length_c 6.7931
_cell_angle_alpha 90.00
_cell_angle_beta 90.00
_cell_angle_gamma 90.00
loop_
_atom_site_label
_atom_site_type_symbol
_atom_site_fract_x
_atom_site_fract_y
_atom_site_fract_z
Gd1 Gd 0.0000 0.0000 0.0000
Np1 Np 0.2500 0.2500 0.2500
Pa1 Pa 0.0000 0.0000 0.5000
```

No. 2
The following is a GGA-PBE calculation of crystalline ScIrNO at its relaxed geometry, from OQMD.

Output
**Uncorrected energy**: -63.4 eV/cell
**Energy above the lowest structure with this stoichiometry**: 0.672 eV/atom

Cell and atoms, written as CIF:
```
data_ScIrNO
_symmetry_space_group_name_H-M 'P 4/n m m'
_symmetry_Int_Tables_number 129
_cell_length_a 4.5697
_cell_length_b 4.5697
_cell_length_c 4.2426
_cell_angle_alpha 90.00
_cell_angle_beta 90.00
_cell_angle_gamma 90.00
loop_
_symmetry_equiv_pos_as_xyz
'x,y,z'
'-x,-y,-z'
'-y+1/2,x,z'
'y+1/2,-x,-z'
'-x+1/2,-y+1/2,z'
'x+1/2,y+1/2,-z'
'y,-x+1/2,z'
'-y,x+1/2,-z'
'x+1/2,-y,-z'
'-x+1/2,y,z'
'-y,-x,-z'
'y,x,z'
'-x,y+1/2,-z'
'x,-y+1/2,z'
'y+1/2,x+1/2,-z'
'-y+1/2,-x+1/2,z'
loop_
_atom_site_label
_atom_site_type_symbol
_atom_site_fract_x
_atom_site_fract_y
_atom_site_fract_z
Sc1 Sc 0.2500 0.7500 0.0000
Ir1 Ir 0.2500 0.2500 0.4826
N1 N 0.2500 0.2500 0.9838
O1 O 0.2500 0.7500 0.5000
```